1.
Here is a relaxed structure of Pm2ScI2N2 from Alexandria via LeMat-Bulk. Energies are from PBE.

Unit cell a=4.2648 b=4.2648 c=10.3648 alpha=101.87 beta=101.87 gamma=90.00
Each line ends with the local moment (μB).
Fractional positions:
N (0.5000, 0.0000, 0.0000)  -0.01
I (0.1596, 0.1596, 0.3192)  0.01
Sc (0.0000, 0.0000, 0.0000)  0.01
N (0.0000, 0.5000, 0.0000)  -0.01
Pm (0.5741, 0.5741, 0.1482)  0.32
I (0.8404, 0.8404, 0.6808)  0.01
Pm (0.4259, 0.4259, 0.8518)  0.32

size of the total moment: 0.98 μB/cell
space-group type: I4/mmm (139)
ΔE_f (raw): -1390.7 meV/atom
DFT total energy: -6.474 eV per atom

2.
Here is a relaxed structure of Ni2Te4H from Alexandria via LeMat-Bulk. Energies are from PBE.

Unit cell a=7.6327 b=7.6140 c=7.6064 alpha=117.98 beta=121.61 gamma=90.48
Fractional positions:
Te (0.3853, 0.1583, 0.7710)
Ni (0.6250, 0.3750, 0.7500)
Te (0.3781, 0.6145, 0.7635)
Ni (0.6250, 0.8750, 0.2500)
Te (0.8719, 0.1355, 0.7365)
Te (0.4031, 0.1348, 0.2672)
H (0.1126, 0.1145, 0.9937)
Te (0.8469, 0.6152, 0.2328)
Te (0.8647, 0.5917, 0.7290)
Te (0.8624, 0.1358, 0.2707)
Ni (0.1250, 0.3750, 0.7500)
Te (0.3876, 0.6142, 0.2293)
Ni (0.6250, 0.3750, 0.2500)
H (0.1374, 0.6355, 0.5063)

size of the total moment: 0.00 μB/cell
space-group type: P-1 (2)
DFT total energy: -3.977 eV per atom

3.
Here is a relaxed structure of Rb2Te2I from Alexandria via LeMat-Bulk. Energies are from PBE.

Unit cell a=4.5318 b=4.5318 c=10.7484 alpha=77.83 beta=77.83 gamma=90.00
Fractional positions:
Rb (0.6037, 0.6037, 0.7926)
I (0.0000, 0.0000, 0.0000)
Te (0.7500, 0.2500, 0.5000)
Rb (0.3963, 0.3963, 0.2074)
Te (0.2500, 0.7500, 0.5000)

relative energy among the computed polymorphs: 0 meV/atom
size of the total moment: 0.00 μB/cell
space-group type: I4/mmm (139)
ΔE_f (raw): -943.5 meV/atom
DFT total energy: -2.897 eV per atom

4.
Here is a relaxed structure of NaTlCl3 from Alexandria via LeMat-Bulk. Energies are from PBE.

Unit cell a=7.8452 b=7.8794 c=12.1904 alpha=112.28 beta=90.00 gamma=119.86
Fractional positions:
Cl (0.7666, 0.3252, 0.2868)
Cl (0.2334, 0.6748, 0.7132)
Na (0.0452, 0.2774, 0.1448)
Cl (0.1457, 0.3840, 0.8927)
Cl (0.2928, 0.1252, 0.0275)
Cl (0.5586, 0.3252, 0.7868)
Cl (0.8543, 0.6160, 0.1073)
Tl (0.6906, 0.0000, 0.7500)
Na (0.9548, 0.7226, 0.8552)
Cl (0.4414, 0.6748, 0.2132)
Cl (0.2383, 0.3840, 0.3927)
Cl (0.8324, 0.1252, 0.5275)
Cl (0.7617, 0.6160, 0.6073)
Cl (0.7072, 0.8747, 0.9725)
Cl (0.1676, 0.8747, 0.4725)
Tl (0.0000, 0.5001, 0.5000)
Tl (0.3094, 0.0000, 0.2500)
Na (0.2321, 0.2774, 0.6448)
Na (0.7678, 0.7226, 0.3552)
Tl (0.5000, 0.5000, 0.0000)

size of the total moment: 0.00 μB/cell
space-group type: C2/c (15)
ΔE_f (raw): -1175.4 meV/atom
DFT total energy: -3.020 eV per atom